Density functional theory data (GGA+U) for crystalline KMnCr2O8 at its relaxed geometry.

Unit cell a=5.2332 b=5.2332 c=7.8113 alpha=90.00 beta=90.00 gamma=120.00
With the nearest neighbours (Å) after each atom.
Element x y z (fractional)
K 0.0000 0.0000 0.0000  12 O 3.07-3.15
Mn 0.0000 0.0000 0.5000  6 O 2.01
Cr 0.6667 0.3333 0.2783  4 O 1.63-1.68
Cr 0.3333 0.6667 0.7217  4 O 1.63-1.68
O 0.3333 0.6667 0.9301  1 Cr 1.63
O 0.3348 0.2706 0.3463  1 Cr 1.68
O 0.7294 0.0641 0.3463  1 Cr 1.68
O 0.6667 0.3333 0.0699  1 Cr 1.63
O 0.2706 0.9359 0.6537  1 Cr 1.68
O 0.6652 0.7294 0.6537  1 Cr 1.68
O 0.0641 0.3348 0.6537  1 Cr 1.68
O 0.9359 0.6652 0.3463  1 Cr 1.68

The total energy comes out at -6.651 eV per atom. As for the crystal system: trigonal. As for the density of states at the Fermi level: 5.238 states/eV/cell. For the magnetization, the calculation gives 4.000 Bohr magnetons per cell. As for the space group: P-3 (147).